## Nd4HoEr6 (GGA-PBE)

Data for a geometry-optimized Nd4HoEr6 structure.

Cell: 9.692 9.692 9.692 Å, 139.94 139.94 57.94°
Atoms (fractional coordinates):
1 Nd 0.014 0.635 0.000
2 Nd 0.365 0.365 0.379
3 Nd 0.635 0.014 0.000
4 Nd 0.986 0.986 0.621
5 Ho 0.000 0.000 0.000
6 Er 0.000 0.500 0.500
7 Er 0.198 0.198 0.644
8 Er 0.446 0.802 0.000
9 Er 0.500 0.000 0.500
10 Er 0.554 0.554 0.356
11 Er 0.802 0.446 0.000

Summary:
Calculated total energy ... -4.342 eV per atom
Distance to the lowest polymorph of the same formula ... 126.7 meV/atom
Space group ... I-42m, No. 121
ΔH_f (0 K) ... 0.297 eV per atom